DFT (GGA-PBE) results for SiNi3Pt4 after structural relaxation.

The structure in CIF format:
```
data_SiNi3Pt4
_chemical_formula_sum 'Si2 Ni6 Pt8'
_cell_length_a 3.911
_cell_length_b 3.911
_cell_length_c 14.109
_cell_angle_alpha 90.00
_cell_angle_beta 90.00
_cell_angle_gamma 90.00
_space_group_name_H-M_alt 'I 4/m m m'
_space_group_IT_number 139
_space_group_name_Hall '-I 4 2'
loop_
_atom_site_label
_atom_site_fract_x
_atom_site_fract_y
_atom_site_fract_z
_atom_site_occupancy
Si1 0.000 0.000 0.000 1
Ni1 0.000 0.000 0.252 1
Ni2 0.000 0.000 0.500 1
Pt1 0.000 0.500 0.121 1
```

Output
The formation energy (no corrections) comes out at -0.28 eV/atom. For the total magnetization, the calculation gives 2.140 μB/f.u.